No. 1
DyPuGaO6 (PBE, relaxed); total moment = 4.00 μB/cell; symmetry = P-31c (163); total DFT energy (no corrections) = -0.30536 hartree per atom; raw formation energy = -2.564 eV per atom
1.0
5.302 0.000 0.000
-2.651 4.592 0.000
0.000 0.000 9.916
Dy Pu Ga O
2 2 2 12
Cartesian
0.000 0.000 0.000
0.000 0.000 4.958
0.000 3.061 2.479
2.651 1.531 7.437
0.000 3.061 7.437
2.651 1.531 2.479
-0.900 1.629 6.322
-1.690 2.998 8.552
0.900 1.629 8.552
-0.790 4.557 6.322
1.861 0.035 1.364
0.961 1.594 3.594
1.690 2.998 6.322
0.790 4.557 8.552
3.441 0.035 3.594
1.751 2.962 1.364
4.341 1.594 1.364
3.551 2.962 3.594

***

No. 2
Ga2CoSnC (PBE, relaxed); total moment = 2.52 μB/cell; symmetry = P4/mmm (123); total DFT energy (no corrections) = -0.15450 hartree per atom; formation energy from the elements = 1.073 eV per atom
1.0
4.514 0.000 0.000
0.000 4.514 0.000
0.000 0.000 4.831
Ga Co Sn C
2 1 1 1
Cartesian
0.000 2.257 0.000
2.257 0.000 0.000
0.000 0.000 0.000
0.000 0.000 2.416
2.257 2.257 2.416

***

No. 3
Er12GaRh6 (PBE, relaxed); total moment = 0.00 μB/cell; symmetry = R-3 (148); total DFT energy (no corrections) = -0.21809 hartree per atom; formation energy from the elements = -0.572 eV per atom
1.0
6.359 3.671 3.602
-6.359 3.671 3.602
0.000 -7.342 3.602
Er Ga Rh
12 1 6
Cartesian
-1.643 -5.356 4.782
-5.460 -1.255 6.023
-2.479 -0.352 4.148
-3.817 4.101 4.782
1.545 -1.971 4.148
-0.935 -2.323 6.658
0.934 2.323 4.148
-1.545 1.971 6.658
3.817 -4.101 6.023
2.479 0.352 6.658
5.460 1.255 4.782
1.643 5.356 6.023
0.000 0.000 0.000
-1.069 -2.861 3.841
-1.943 2.357 3.841
-3.013 -0.505 6.965
3.013 0.505 3.841
1.943 -2.357 6.965
1.069 2.861 6.965

***

No. 4
CsRb2HgI4 (PBE, relaxed); total moment = 0.00 μB/cell; symmetry = Cmcm (63); total DFT energy (no corrections) = -0.08458 hartree per atom; raw formation energy = -1.140 eV per atom
1.0
2.831 -8.246 0.000
2.831 8.246 0.000
0.000 0.000 18.170
Cs Rb Hg I
2 4 2 8
Cartesian
2.831 6.083 13.627
2.831 -6.083 4.542
2.831 2.184 10.006
2.831 2.184 17.249
2.831 -2.184 0.921
2.831 -2.184 8.164
2.831 6.260 4.542
2.831 -6.260 13.627
0.000 0.000 0.000
0.000 0.000 9.085
2.831 3.897 2.324
2.831 3.897 6.761
2.831 1.146 13.627
2.831 -1.146 4.542
2.831 -3.897 11.409
2.831 -3.897 15.846